{
  "formula": "AcLaTlCu",
  "functional": "PBE",
  "state": "relaxed",
  "ef_ev_per_atom": -0.1996,
  "dos_ef_per_ev_fu": 3.96,
  "final_energy_ev_per_atom": -4.0742,
  "density_g_cm3": 8.682,
  "lattice_angstrom": [[5.555, 0.000, 0.000], [2.778, 4.811, 0.000], [2.778, 1.604, 4.536]],
  "species": ["Cu", "Ac", "La", "Tl"],
  "frac_coords": [[0.250, 0.250, 0.250], [0.000, 0.000, 0.000], [0.500, 0.500, 0.500], [0.750, 0.750, 0.750]]
}